Entry 1:
Crystalline Nb2Fe2Cu at its relaxed geometry. Source: Alexandria, functional GGA-PBE.

## Properties
Space-group type: P4/mbm (127)
Raw total energy (eV per cell): -81.4
D(E_F) (states/eV/cell): 11.34
Formation energy (eV per formula unit): 0.5

Cell and atoms, written as POSCAR:
```
Nb2Fe2Cu
1.0
6.914 0.000 0.000
0.000 6.914 0.000
0.000 0.000 3.003
Nb Fe Cu
4 4 2
Direct
0.166 0.334 0.000
0.334 0.834 0.000
0.666 0.166 0.000
0.834 0.666 0.000
0.136 0.636 0.500
0.364 0.136 0.500
0.636 0.864 0.500
0.864 0.364 0.500
0.000 0.000 0.500
0.500 0.500 0.500
```


Entry 2:
Crystalline Nb3Fe at its relaxed geometry. Source: Alexandria, functional GGA-PBE.

## Properties
Space-group type: Pm-3m (221)
Raw total energy (eV per cell): -37.7
D(E_F) (states/eV/cell): 5.54
Formation energy (eV per formula unit): 1.0

Cell and atoms, written as POSCAR:
```
Nb3Fe
1.0
4.085 0.000 0.000
0.000 4.085 0.000
0.000 0.000 4.085
Nb Fe
3 1
Direct
0.000 0.000 0.500
0.000 0.500 0.000
0.500 0.000 0.000
0.500 0.500 0.500
```


Entry 3:
Crystalline TmMg11In at its relaxed geometry. Source: Alexandria, functional GGA-PBE.

## Properties
Space-group type: C2/m (12)
Raw total energy (eV per cell): -25.1
D(E_F) (states/eV/cell): 4.87
Formation energy (eV per formula unit): -0.3

Cell and atoms, written as POSCAR:
```
TmMg11In
1.0
2.950 -7.226 0.000
2.950 7.226 0.000
-2.809 0.000 7.199
Tm Mg In
1 11 1
Direct
0.000 0.000 0.000
0.000 0.000 0.500
0.000 0.500 0.000
0.005 0.655 0.650
0.286 0.496 0.791
0.345 0.995 0.350
0.496 0.286 0.791
0.500 0.000 0.000
0.504 0.714 0.209
0.655 0.005 0.650
0.714 0.504 0.209
0.995 0.345 0.350
0.500 0.500 0.500
```


Entry 4:
Crystalline TlAsH2F8 at its relaxed geometry. Source: Alexandria, functional GGA-PBE.

## Properties
Space-group type: C2/m (12)
Raw total energy (eV per cell): -52.0
D(E_F) (states/eV/cell): 0.00

Cell and atoms, written as POSCAR:
```
TlAsH2F8
1.0
4.367 -2.743 0.000
4.367 2.743 0.000
-1.767 0.000 7.703
Tl As H F
1 1 2 8
Direct
0.000 0.000 0.000
0.000 0.000 0.500
0.288 0.288 0.763
0.712 0.712 0.237
0.210 0.210 0.560
0.222 0.771 0.659
0.229 0.778 0.341
0.317 0.317 0.889
0.683 0.683 0.111
0.771 0.222 0.659
0.778 0.229 0.341
0.790 0.790 0.440
```


Entry 5:
Crystalline Li2LaTcGe at its relaxed geometry. Source: Alexandria, functional GGA-PBE.

## Properties
Space-group type: P4/mmm (123)
Raw total energy (eV per cell): -18.0
D(E_F) (states/eV/cell): 4.56
Formation energy (eV per formula unit): 5.7

Cell and atoms, written as POSCAR:
```
Li2LaTcGe
1.0
5.236 0.000 0.000
0.000 5.236 0.000
0.000 0.000 4.684
Li La Tc Ge
2 1 1 1
Direct
0.000 0.500 0.000
0.500 0.000 0.000
0.000 0.000 0.000
0.000 0.000 0.500
0.500 0.500 0.500
```


Entry 6:
Crystalline AcCeAl2 at its relaxed geometry. Source: Alexandria, functional GGA-PBE.

## Properties
Space-group type: R-3m (166)
Raw total energy (eV per cell): -17.3
D(E_F) (states/eV/cell): 6.64
Formation energy (eV per formula unit): 0.2

Cell and atoms, written as POSCAR:
```
AcCeAl2
1.0
1.878 1.084 9.718
-1.878 1.084 9.718
0.000 -2.168 9.718
Ac Ce Al
1 1 2
Direct
0.000 0.000 0.000
0.500 0.500 0.500
0.245 0.245 0.245
0.755 0.755 0.755
```


Entry 7:
Crystalline Cd6PdAu2 at its relaxed geometry. Source: Alexandria, functional GGA-PBE.

## Properties
Space-group type: C2/m (12)
Distance to the lowest polymorph of the same formula (meV per atom): 11
Raw total energy (eV per cell): -18.7
D(E_F) (states/eV/cell): 1.97
Formation energy (eV per formula unit): -1.5

Cell and atoms, written as POSCAR:
```
Cd6PdAu2
1.0
4.614 -2.173 0.000
4.614 2.173 0.000
-2.200 0.000 8.856
Cd Pd Au
6 1 2
Direct
0.006 0.006 0.314
0.336 0.336 0.443
0.339 0.339 0.097
0.661 0.661 0.903
0.664 0.664 0.557
0.994 0.994 0.686
0.000 0.000 0.000
0.321 0.321 0.775
0.679 0.679 0.225
```


Entry 8:
Crystalline Hf3Si2H at its relaxed geometry. Source: Alexandria, functional GGA-PBE.

## Properties
Space-group type: C2/c (15)
Raw total energy (eV per cell): -95.2
D(E_F) (states/eV/cell): 3.88

Cell and atoms, written as POSCAR:
```
Hf3Si2H
1.0
4.939 -2.697 0.000
4.939 2.697 0.000
-1.826 0.000 7.130
Hf Si H
6 4 2
Direct
0.146 0.854 0.750
0.213 0.487 0.352
0.487 0.213 0.852
0.513 0.787 0.148
0.787 0.513 0.648
0.854 0.146 0.250
0.019 0.285 0.006
0.285 0.019 0.506
0.715 0.981 0.494
0.981 0.715 0.994
0.499 0.501 0.250
0.501 0.499 0.750
```


Entry 9:
Crystalline AcMgCo at its relaxed geometry. Source: Alexandria, functional GGA-PBE.

## Properties
Space-group type: F-43m (216)
Distance to the lowest polymorph of the same formula (meV per atom): 198
Raw total energy (eV per cell): -12.3
D(E_F) (states/eV/cell): 1.89
Formation energy (eV per formula unit): 0.5

Cell and atoms, written as POSCAR:
```
AcMgCo
1.0
0.000 3.396 3.396
3.396 0.000 3.396
3.396 3.396 0.000
Ac Mg Co
1 1 1
Direct
0.000 0.000 0.000
0.500 0.500 0.500
0.250 0.250 0.250
```


Entry 10:
Crystalline Er4ZnTe at its relaxed geometry. Source: Alexandria, functional GGA-PBE.

## Properties
Space-group type: P2_1/m (11)
Distance to the lowest polymorph of the same formula (meV per atom): 240
Raw total energy (eV per cell): -48.7
Formation energy from raw total energies (kJ/mol of atoms): -27
D(E_F) (states/eV/cell): 10.89

Cell and atoms, written as POSCAR:
```
Er4ZnTe
1.0
5.834 0.000 0.000
0.000 8.368 0.000
-2.033 0.000 7.365
Er Zn Te
8 2 2
Direct
0.019 0.053 0.235
0.019 0.447 0.235
0.411 0.250 0.005
0.429 0.750 0.504
0.571 0.250 0.496
0.589 0.750 0.995
0.981 0.553 0.765
0.981 0.947 0.765
0.149 0.750 0.088
0.851 0.250 0.912
0.107 0.250 0.587
0.893 0.750 0.413
```


Entry 11:
Crystalline CaCrIr2 at its relaxed geometry. Source: Alexandria, functional GGA-PBE.

## Properties
Space-group type: P4/mmm (123)
Distance to the lowest polymorph of the same formula (meV per atom): 284
Raw total energy (eV per cell): -28.7
D(E_F) (states/eV/cell): 3.74
Formation energy (eV per formula unit): 0.6

Cell and atoms, written as POSCAR:
```
CaCrIr2
1.0
4.195 0.000 0.000
0.000 4.195 0.000
0.000 0.000 3.782
Ca Cr Ir
1 1 2
Direct
0.000 0.000 0.000
0.500 0.500 0.000
0.000 0.500 0.500
0.500 0.000 0.500
```


Entry 12:
Crystalline Sm3TeRh at its relaxed geometry. Source: Alexandria, functional GGA-PBE.

## Properties
Space-group type: Pnma (62)
Distance to the lowest polymorph of the same formula (meV per atom): 0
Raw total energy (eV per cell): -116.3
Formation energy from raw total energies (kJ/mol of atoms): -85
D(E_F) (states/eV/cell): 12.19

Cell and atoms, written as POSCAR:
```
Sm3TeRh
1.0
11.968 0.000 0.000
0.000 4.153 0.000
0.000 0.000 11.514
Sm Te Rh
12 4 4
Direct
0.039 0.250 0.169
0.116 0.750 0.547
0.222 0.250 0.781
0.278 0.750 0.281
0.384 0.250 0.047
0.461 0.750 0.669
0.539 0.250 0.331
0.616 0.750 0.953
0.722 0.250 0.719
0.778 0.750 0.219
0.884 0.250 0.453
0.961 0.750 0.831
0.175 0.750 0.002
0.325 0.250 0.502
0.675 0.750 0.498
0.825 0.250 0.998
0.002 0.250 0.671
0.498 0.750 0.171
0.502 0.250 0.829
0.998 0.750 0.329
```


Entry 13:
Crystalline FeAs2Os at its relaxed geometry. Source: Alexandria, functional GGA-PBE.

## Properties
Space-group type: Fm-3m (225)
Distance to the lowest polymorph of the same formula (meV per atom): 176
Raw total energy (eV per cell): -27.8
D(E_F) (states/eV/cell): 3.44
Formation energy (eV per formula unit): 1.1

Cell and atoms, written as POSCAR:
```
FeAs2Os
1.0
0.000 3.057 3.057
3.057 0.000 3.057
3.057 3.057 0.000
Fe As Os
1 2 1
Direct
0.000 0.000 0.000
0.250 0.250 0.250
0.750 0.750 0.750
0.500 0.500 0.500
```


Entry 14:
Crystalline TcAu at its relaxed geometry. Source: Alexandria, functional GGA-PBE.

## Properties
Space-group type: R-3m (166)
Distance to the lowest polymorph of the same formula (meV per atom): 333
Raw total energy (eV per cell): -12.8
D(E_F) (states/eV/cell): 1.96
Formation energy (eV per formula unit): 0.8

Cell and atoms, written as POSCAR:
```
TcAu
1.0
1.401 0.809 4.732
-1.401 0.809 4.732
0.000 -1.617 4.732
Tc Au
1 1
Direct
0.000 0.000 0.000
0.500 0.500 0.500
```


Entry 15:
Crystalline PrPuTl2Se4 at its relaxed geometry. Source: Alexandria, functional GGA-PBE.

## Properties
Space-group type: P2/m (10)
Raw total energy (eV per cell): -47.6
Formation energy from raw total energies (kJ/mol of atoms): -119
D(E_F) (states/eV/cell): 12.22

Cell and atoms, written as POSCAR:
```
PrPuTl2Se4
1.0
7.466 0.000 0.000
0.000 4.306 0.000
-2.489 0.000 7.716
Pr Pu Tl Se
1 1 2 4
Direct
0.000 0.000 0.000
0.500 0.500 0.000
0.000 0.500 0.500
0.500 0.000 0.500
0.242 0.500 0.211
0.272 0.000 0.794
0.728 0.000 0.206
0.758 0.500 0.789
```


Entry 16:
Crystalline YHo2Er6Sc at its relaxed geometry. Source: Alexandria, functional GGA-PBE.

## Properties
Space-group type: C2/c (15)
Raw total energy (eV per cell): -96.2
D(E_F) (states/eV/cell): 25.49
Formation energy (eV per formula unit): 1.3

Cell and atoms, written as POSCAR:
```
YHo2Er6Sc
1.0
4.465 -7.379 0.000
4.465 7.379 0.000
-1.175 0.000 9.268
Y Ho Er Sc
2 4 12 2
Direct
0.022 0.978 0.750
0.978 0.022 0.250
0.200 0.307 0.546
0.307 0.200 0.046
0.693 0.800 0.954
0.800 0.693 0.454
0.010 0.566 0.689
0.129 0.752 0.056
0.248 0.871 0.444
0.291 0.504 0.884
0.434 0.990 0.811
0.496 0.709 0.616
0.504 0.291 0.384
0.566 0.010 0.189
0.709 0.496 0.116
0.752 0.129 0.556
0.871 0.248 0.944
0.990 0.434 0.311
0.413 0.587 0.250
0.587 0.413 0.750
```


Entry 17:
Crystalline MoPdRu2 at its relaxed geometry. Source: Alexandria, functional GGA-PBE.

## Properties
Space-group type: P-6m2 (187)
Distance to the lowest polymorph of the same formula (meV per atom): 48
Raw total energy (eV per cell): -34.3
D(E_F) (states/eV/cell): 5.35
Formation energy (eV per formula unit): 0.3

Cell and atoms, written as POSCAR:
```
MoPdRu2
1.0
2.773 0.000 0.000
-1.386 2.401 0.000
0.000 0.000 8.879
Mo Pd Ru
1 1 2
Direct
0.000 0.000 0.000
0.000 0.000 0.500
0.667 0.333 0.242
0.667 0.333 0.758
```


Entry 18:
Crystalline KSi2H at its relaxed geometry. Source: Alexandria, functional GGA-PBE.

## Properties
Space-group type: I4_1/amd (141)
Distance to the lowest polymorph of the same formula (meV per atom): 0
Raw total energy (eV per cell): -26.1
D(E_F) (states/eV/cell): 4.28

Cell and atoms, written as POSCAR:
```
KSi2H
1.0
-2.968 2.968 4.282
2.968 -2.968 4.282
2.968 2.968 -4.282
K Si H
2 4 2
Direct
0.375 0.625 0.750
0.625 0.375 0.250
0.000 0.000 0.000
0.000 0.000 0.500
0.000 0.500 0.000
0.500 0.000 0.500
0.125 0.875 0.250
0.875 0.125 0.750
```


Entry 19:
Crystalline K2RhF at its relaxed geometry. Source: Alexandria, functional GGA-PBE.

## Properties
Space-group type: I-42d (122)
Distance to the lowest polymorph of the same formula (meV per atom): 0
Raw total energy (eV per cell): -26.8
Formation energy from raw total energies (kJ/mol of atoms): -47
D(E_F) (states/eV/cell): 14.89

Cell and atoms, written as POSCAR:
```
K2RhF
1.0
-3.738 3.738 4.373
3.738 -3.738 4.373
3.738 3.738 -4.373
K Rh F
4 2 2
Direct
0.040 0.625 0.915
0.375 0.290 0.415
0.710 0.125 0.085
0.875 0.960 0.585
0.250 0.750 0.500
0.500 0.500 0.000
0.000 0.000 0.000
0.750 0.250 0.500
```


Entry 20:
Crystalline MnZn2Br at its relaxed geometry. Source: Alexandria, functional GGA-PBE.

## Properties
Space-group type: P4/mmm (123)
Distance to the lowest polymorph of the same formula (meV per atom): 303
Raw total energy (eV per cell): -12.0
Formation energy from raw total energies (kJ/mol of atoms): 34
D(E_F) (states/eV/cell): 2.12

Cell and atoms, written as POSCAR:
```
MnZn2Br
1.0
4.851 0.000 0.000
0.000 4.851 0.000
0.000 0.000 3.166
Mn Zn Br
1 2 1
Direct
0.000 0.000 0.000
0.000 0.500 0.500
0.500 0.000 0.500
0.500 0.500 0.000
```


Entry 21:
Crystalline TlRe2Ni at its relaxed geometry. Source: Alexandria, functional GGA-PBE.

## Properties
Space-group type: Cm (8)
Distance to the lowest polymorph of the same formula (meV per atom): 116
Raw total energy (eV per cell): -30.5
D(E_F) (states/eV/cell): 2.40
Formation energy (eV per formula unit): 2.5

Cell and atoms, written as POSCAR:
```
TlRe2Ni
1.0
4.427 -1.529 0.000
4.427 1.529 0.000
-1.057 0.000 4.821
Tl Re Ni
1 2 1
Direct
0.000 0.000 0.000
0.500 0.500 0.499
0.768 0.768 0.348
0.243 0.243 0.765
```


Entry 22:
Crystalline Pm2Sm8Tm at its relaxed geometry. Source: Alexandria, functional GGA-PBE.

## Properties
Space-group type: C2/m (12)
Distance to the lowest polymorph of the same formula (meV per atom): 142
Raw total energy (eV per cell): -50.0
D(E_F) (states/eV/cell): 17.41
Formation energy (eV per formula unit): 1.7

Cell and atoms, written as POSCAR:
```
Pm2Sm8Tm
1.0
8.335 -3.394 0.000
8.335 3.394 0.000
-1.261 0.000 6.643
Pm Sm Tm
2 8 1
Direct
0.196 0.196 0.302
0.804 0.804 0.698
0.176 0.650 0.098
0.244 0.244 0.811
0.350 0.824 0.902
0.409 0.409 0.588
0.591 0.591 0.412
0.650 0.176 0.098
0.756 0.756 0.189
0.824 0.350 0.902
0.000 0.000 0.500
```


Entry 23:
Crystalline TaAlHg2 at its relaxed geometry. Source: Alexandria, functional GGA-PBE.

## Properties
Space-group type: R-3m (166)
Raw total energy (eV per cell): -15.0
D(E_F) (states/eV/cell): 3.66
Formation energy (eV per formula unit): 1.2

Cell and atoms, written as POSCAR:
```
TaAlHg2
1.0
1.539 0.888 9.552
-1.539 0.888 9.552
0.000 -1.777 9.552
Ta Al Hg
1 1 2
Direct
0.000 0.000 0.000
0.500 0.500 0.500
0.248 0.248 0.248
0.752 0.752 0.752
```


Entry 24:
Crystalline KHg2SbTe4 at its relaxed geometry. Source: Alexandria, functional GGA-PBE.

## Properties
Space-group type: I222 (23)
Raw total energy (eV per cell): -20.4
Formation energy from raw total energies (kJ/mol of atoms): -25

Cell and atoms, written as POSCAR:
```
KHg2SbTe4
1.0
-3.801 4.595 4.604
3.801 -4.595 4.604
3.801 4.595 -4.604
K Hg Sb Te
1 2 1 4
Direct
0.000 0.000 0.000
0.319 0.819 0.500
0.681 0.181 0.500
0.500 0.500 0.000
0.124 0.083 0.585
0.498 0.539 0.415
0.502 0.917 0.040
0.876 0.461 0.960
```